VASP calculation (PBE) on a relaxed structure of RbCa2YPd.

```
RbCa2YPd
1.0
-1.6291 3.3654 4.5755
-4.5083 -3.6616 1.0880
3.2364 -2.9891 3.3509
Y Ca Rb Pd
1 2 1 1
direct
0.0000 0.0000 0.5000
0.0000 0.5000 0.0000
0.5000 0.0000 0.0000
0.5000 0.5000 0.5000
0.0000 0.0000 0.0000
```

## Properties
DFT formation energy in eV per atom: -0.14
Space group: P4/mmm, No. 123
Total DFT energy (no corrections) in eV per atom: -3.4632
Density of states at the Fermi level in states/eV/atom: 0.93
Crystal system: tetragonal
Calculated density in g cm⁻³: 3.1